Here is an optimized crystal structure of ZnH from OQMD via LeMat-Bulk. Energies are from PBE.

a b c (Å): 2.650 2.650 3.095
angles (deg): 90.00 90.00 120.01
Sites, in units of the cell vectors:
1 H 0.667 0.333 0.750
2 Zn 0.333 0.667 0.250

## Properties
space group = P-6m2 (187)
total energy = -1.810 eV/atom


Here is an optimized crystal structure of CsBeBiPd from OQMD via LeMat-Bulk. Energies are from PBE.

a b c (Å): 5.222 5.222 5.222
angles (deg): 60.00 60.00 60.00
Sites, in units of the cell vectors:
1 Be 0.750 0.750 0.750
2 Pd 0.250 0.250 0.250
3 Bi 0.500 0.500 0.500
4 Cs 0.000 0.000 0.000

## Properties
space group = F-43m (216)
total energy = -2.803 eV/atom


Please write out number 1 again, unchanged.
Here is an optimized crystal structure of ZnH from OQMD via LeMat-Bulk. Energies are from PBE.

a b c (Å): 2.650 2.650 3.095
angles (deg): 90.00 90.00 120.01
Sites, in units of the cell vectors:
1 H 0.667 0.333 0.750
2 Zn 0.333 0.667 0.250

## Properties
space group = P-6m2 (187)
total energy = -1.810 eV/atom